1.
The following is a DFT calculation (SCAN) of a crystal of KMoP4 relaxed with PBEsol.

Structure (extended XYZ):
```
6
Lattice="-3.289 -2.571 3.087 -2.773 -3.963 -1.888 1.082 -4.860 1.472" Properties=species:S:1:pos:R:3 pbc="T T T"
K -3.735 -8.545 2.003
Mo 0.000 0.000 0.000
P -3.569 -5.550 2.612
P -1.833 -4.193 0.983
P -1.261 -6.759 1.760
P -3.296 -6.285 -0.014
```

DFT formation energy: 0.784 eV per atom
Space-group type: No. 216
V: 99 Å³/cell


2.
The following is a DFT calculation (SCAN) of a crystal of Si3Bi2O9 relaxed with PBEsol.

Structure (extended XYZ):
```
28
Lattice="-0.572 -3.427 5.821 -0.136 -3.315 -5.912 9.554 -1.008 0.345" Properties=species:S:1:pos:R:3 pbc="T T T"
Si 6.649 -5.805 -0.172
Si 7.092 -1.901 -1.045
Si 2.198 -1.944 0.427
Si 1.934 -3.132 4.264
Si 6.912 -4.618 -4.009
Si 1.754 -5.849 1.299
Bi 8.856 -4.369 2.246
Bi 4.622 -3.922 2.093
Bi 4.224 -3.827 -1.838
Bi -0.010 -3.381 -1.991
O 1.850 -5.489 -0.299
O 8.420 -2.519 -1.745
O 5.392 -4.781 -0.258
O 6.699 -3.689 4.622
O 2.148 -4.060 -4.368
O 0.654 -2.583 3.429
O 3.356 -2.868 3.526
O 6.522 -6.486 1.331
O 6.996 -2.261 0.554
O 8.192 -5.167 -3.174
O 0.426 -5.230 1.999
O 5.490 -4.881 -3.272
O 3.454 -2.969 0.513
O 0.752 -2.684 0.415
O 2.324 -1.263 -1.077
O 3.128 -5.515 2.097
O 8.094 -5.066 -0.161
O 5.718 -2.234 -1.843
```

Uncorrected formation energy: -2.3969 eV/atom
Space-group type: No. 176
V: 383 Å³/cell


3.
The following is a DFT calculation (SCAN) of a crystal of NiRuPt2 relaxed with PBEsol.

Structure (extended XYZ):
```
4
Lattice="2.689 0.000 0.000 1.345 2.329 0.000 1.345 0.776 8.666" Properties=species:S:1:pos:R:3 pbc="T T T"
Ru 2.689 1.553 4.188
Pt 4.034 2.329 0.143
Pt 4.034 2.329 6.419
Ni 1.345 0.776 2.248
```

DFT formation energy: 0.031 eV per atom
Space-group type: No. 160
V: 54 Å³/cell


4.
The following is a DFT calculation (SCAN) of a crystal of Rh2Pb3 relaxed with PBEsol.

Structure (extended XYZ):
```
5
Lattice="3.380 0.000 0.000 1.690 2.927 0.000 1.690 0.976 10.683" Properties=species:S:1:pos:R:3 pbc="T T T"
Pb 0.000 0.000 0.000
Pb 1.690 0.976 3.930
Pb 5.069 2.927 6.753
Rh 3.380 1.951 1.965
Rh 3.380 1.951 8.717
```

DFT formation energy: 0.098 eV per atom
Space-group type: No. 166
V: 106 Å³/cell


5.
The following is a DFT calculation (SCAN) of a crystal of LaSi4Ni9 relaxed with PBEsol.

Structure (extended XYZ):
```
28
Lattice="-0.318 -5.377 5.589 -3.399 -1.440 -6.969 3.196 -5.188 -4.809" Properties=species:S:1:pos:R:3 pbc="T T T"
La -1.139 -6.050 -0.495
La 0.618 -5.955 -5.694
Si 1.333 -6.431 -2.564
Si 0.358 -7.150 -8.701
Si -0.306 -9.018 -5.145
Si 0.668 -8.299 0.991
Si -0.215 -2.987 -1.044
Si -0.879 -4.855 2.512
Si -1.854 -5.573 -3.625
Si -1.189 -3.705 -7.180
Ni 2.070 -6.712 -0.209
Ni 2.723 -9.109 -0.033
Ni 0.070 -4.526 -2.956
Ni 0.682 -8.466 -1.321
Ni 0.807 -3.852 0.989
Ni -1.203 -3.539 -4.868
Ni -2.113 -3.588 -2.177
Ni 0.153 -10.212 -3.032
Ni -0.592 -7.478 -3.233
Ni -0.674 -1.792 -3.158
Ni -0.159 -2.688 2.794
Ni 1.598 -2.594 -2.404
Ni 1.723 -4.539 -1.083
Ni 0.357 -6.068 4.221
Ni 2.520 -4.496 -3.442
Ni 0.155 -1.456 0.812
Ni 1.592 -8.417 -4.012
Ni 1.154 -6.025 1.863
```

Uncorrected formation energy: -0.6052 eV/atom
Space-group type: No. 140
V: 341 Å³/cell


6.
The following is a DFT calculation (SCAN) of a crystal of YMoI2O relaxed with PBEsol.

Structure (extended XYZ):
```
5
Lattice="-2.161 0.463 -3.042 -4.294 -2.349 2.693 -1.569 5.022 1.879" Properties=species:S:1:pos:R:3 pbc="T T T"
I -0.784 2.511 0.940
I -2.147 -1.175 1.347
Y -4.012 1.568 0.765
Mo 0.000 0.000 0.000
O -1.081 0.232 -1.521
```

Uncorrected formation energy: -0.5388 eV/atom
Space-group type: No. 123
V: 117 Å³/cell


7.
The following is a DFT calculation (SCAN) of a crystal of SrPPt3 relaxed with PBEsol.

Structure (extended XYZ):
```
5
Lattice="4.596 0.000 0.000 0.000 4.596 0.000 0.000 0.000 4.596" Properties=species:S:1:pos:R:3 pbc="T T T"
Sr 2.298 2.298 2.298
Pt 0.000 2.298 0.000
Pt 0.000 0.000 2.298
Pt 2.298 0.000 0.000
P 0.000 0.000 0.000
```

DFT formation energy: -0.606 eV per atom
Space-group type: No. 221
V: 97 Å³/cell


8.
The following is a DFT calculation (SCAN) of a crystal of SrBe2P relaxed with PBEsol.

Structure (extended XYZ):
```
4
Lattice="4.133 0.000 0.000 0.000 4.133 0.000 -2.067 -2.067 3.964" Properties=species:S:1:pos:R:3 pbc="T T T"
Sr 0.000 0.000 0.000
P 2.067 2.067 0.000
Be 2.067 0.000 1.982
Be 0.000 2.067 1.982
```

DFT formation energy: 0.539 eV per atom
Space-group type: No. 139
V: 68 Å³/cell


9.
The following is a DFT calculation (SCAN) of a crystal of FeSb2TeN relaxed with PBEsol.

Structure (extended XYZ):
```
5
Lattice="-0.498 2.157 -3.950 -4.257 1.401 1.302 1.842 3.857 1.874" Properties=species:S:1:pos:R:3 pbc="T T T"
Sb 0.921 1.928 0.937
Sb -2.128 0.700 0.651
Te -0.249 1.078 -1.975
Fe -1.456 3.707 -0.387
N 0.000 0.000 0.000
```

Uncorrected formation energy: 0.9380 eV/atom
Space-group type: No. 123
V: 99 Å³/cell


10.
The following is a DFT calculation (SCAN) of a crystal of SrZnInB2 relaxed with PBEsol.

Structure (extended XYZ):
```
5
Lattice="-4.443 0.686 -1.965 -1.343 -4.484 1.470 -2.016 2.369 5.388" Properties=species:S:1:pos:R:3 pbc="T T T"
Sr 0.000 0.000 0.000
Zn -3.901 -0.714 2.446
B -0.671 -2.242 0.735
B -2.221 0.343 -0.982
In -1.008 1.185 2.694
```

DFT formation energy: 2.278 eV per atom
Space-group type: No. 123
V: 150 Å³/cell


11.
The following is a DFT calculation (SCAN) of a crystal of Zr2SiPb relaxed with PBEsol.

Structure (extended XYZ):
```
4
Lattice="4.115 0.000 0.000 0.000 4.110 0.000 -2.057 -2.055 4.777" Properties=species:S:1:pos:R:3 pbc="T T T"
Pb 0.000 0.000 4.776
Si 0.000 2.055 2.386
Zr 0.000 0.000 0.003
Zr 2.057 0.000 2.390
```

Uncorrected formation energy: -0.3343 eV/atom
Space-group type: No. 119
V: 81 Å³/cell


12.
The following is a DFT calculation (SCAN) of a crystal of CoRhCl3 relaxed with PBEsol.

Structure (extended XYZ):
```
5
Lattice="-4.355 0.709 -0.728 -0.874 -0.981 4.274 0.518 4.305 1.094" Properties=species:S:1:pos:R:3 pbc="T T T"
Co 0.000 0.000 0.000
Rh -2.355 2.016 2.320
Cl -0.437 -0.490 2.137
Cl 0.259 2.152 0.547
Cl -2.177 0.354 -0.364
```

Uncorrected formation energy: 0.1007 eV/atom
Space-group type: No. 221
V: 89 Å³/cell


13.
The following is a DFT calculation (SCAN) of a crystal of BaCo2Os relaxed with PBEsol.

Structure (extended XYZ):
```
4
Lattice="4.103 0.000 0.000 2.051 3.553 0.000 2.051 1.184 5.566" Properties=species:S:1:pos:R:3 pbc="T T T"
Co 6.154 3.553 3.064
Co 2.051 1.184 2.502
Os 4.103 2.369 2.783
Ba 0.000 0.000 0.000
```

DFT formation energy: 0.283 eV per atom
Space-group type: No. 166
V: 81 Å³/cell


14.
The following is a DFT calculation (SCAN) of a crystal of Cs2Zr2ZnH12O6F12 relaxed with PBEsol.

Structure (extended XYZ):
```
70
Lattice="6.288 0.000 0.591 0.000 10.832 0.000 0.498 0.000 12.841" Properties=species:S:1:pos:R:3 pbc="T T T"
Cs 6.247 8.480 5.813
Cs 3.352 7.768 11.938
Cs 0.540 2.352 7.620
Cs 3.435 3.064 1.495
Zr 0.250 5.738 1.770
Zr 3.643 10.510 8.487
Zr 6.536 5.094 11.662
Zr 3.143 0.322 4.946
Zn 3.393 5.416 6.716
Zn 0.000 0.000 0.000
H 5.576 9.801 10.795
H 2.183 6.447 4.078
H 1.211 1.031 2.638
H 4.604 4.385 9.354
H 3.631 2.987 9.240
H 0.238 2.429 2.524
H 3.155 7.845 4.192
H 6.548 8.403 10.908
H 4.035 7.262 7.993
H 0.642 8.986 1.277
H 2.752 3.570 5.439
H 6.145 1.846 12.155
H 1.079 6.867 8.318
H 3.974 9.381 2.193
H 5.707 3.965 5.114
H 2.812 1.451 11.239
H 6.338 6.358 7.874
H 2.945 9.890 1.158
H 0.448 4.474 5.559
H 3.841 0.942 12.275
H 2.996 4.517 9.774
H 5.891 0.899 3.649
H 3.790 6.315 3.658
H 0.895 9.933 9.784
O 5.769 4.230 6.055
O 2.874 1.186 12.180
O 1.017 6.602 7.378
O 3.912 9.646 1.252
O 4.535 6.578 7.487
O 1.142 9.670 0.771
O 2.251 4.254 5.945
O 5.644 1.162 12.662
O 3.641 4.024 9.123
O 0.247 1.392 2.407
O 3.146 6.808 4.309
O 6.539 9.440 11.025
F 6.262 4.263 0.798
F 3.367 1.153 6.923
F 0.525 6.569 12.635
F 3.420 9.679 6.510
F 6.091 7.660 2.691
F 3.196 8.588 8.816
F 0.696 3.172 10.742
F 3.591 2.244 4.616
F 4.569 5.462 2.858
F 1.674 10.786 8.983
F 2.217 5.370 10.574
F 5.112 0.046 4.449
F 0.925 6.070 3.696
F 4.318 10.177 10.412
F 5.862 4.761 9.736
F 2.468 0.654 3.020
F 0.365 3.828 2.655
F 3.758 1.588 9.371
F 6.422 7.004 10.778
F 3.029 9.244 4.062
F 2.157 5.808 1.314
F 5.551 10.440 8.030
F 4.629 5.024 12.119
F 1.236 0.392 5.403
```

Space-group type: No. 14
Total DFT energy (no corrections): -348.9 eV/f.u.
V: 871 Å³/cell


15.
The following is a DFT calculation (SCAN) of a crystal of AlZn2Os relaxed with PBEsol.

Structure (extended XYZ):
```
4
Lattice="-1.330 -2.487 1.505 -1.248 -1.441 -3.485 4.918 -0.217 0.593" Properties=species:S:1:pos:R:3 pbc="T T T"
Zn 0.518 -3.050 -1.188
Zn 1.822 -1.095 -0.200
Os -0.624 -0.721 -1.743
Al -0.665 -1.243 0.752
```

DFT formation energy: -0.271 eV per atom
Space-group type: No. 71
V: 54 Å³/cell


16.
The following is a DFT calculation (SCAN) of a crystal of K2AlFe relaxed with PBEsol.

Structure (extended XYZ):
```
4
Lattice="3.447 0.000 0.000 0.000 3.447 0.000 0.000 0.000 10.148" Properties=species:S:1:pos:R:3 pbc="T T T"
K 0.000 0.000 9.364
K 1.723 1.723 3.327
Fe 1.723 1.723 6.491
Al 0.000 0.000 6.188
```

DFT formation energy: 0.344 eV per atom
Space-group type: No. 99
V: 121 Å³/cell


17.
The following is a DFT calculation (SCAN) of a crystal of SrSnH3 relaxed with PBEsol.

Structure (extended XYZ):
```
5
Lattice="-3.096 2.819 -0.402 -2.710 -2.734 1.695 0.875 1.507 3.828" Properties=species:S:1:pos:R:3 pbc="T T T"
Sr -2.466 0.796 2.561
Sn 0.000 0.000 0.000
H -1.355 -1.367 0.848
H 0.437 0.754 1.914
H -1.548 1.410 -0.201
```

Space-group type: No. 221
Total DFT energy (no corrections): -68.0 eV/f.u.
V: 74 Å³/cell


18.
The following is a DFT calculation (SCAN) of a crystal of TlAs2Pd2 relaxed with PBEsol.

Structure (extended XYZ):
```
5
Lattice="4.316 0.000 0.000 0.000 4.316 0.000 -2.158 -2.158 5.294" Properties=species:S:1:pos:R:3 pbc="T T T"
Tl 0.000 0.000 0.000
As 0.000 0.000 3.919
As 2.158 2.158 1.374
Pd 0.000 2.158 2.647
Pd 2.158 0.000 2.647
```

DFT formation energy: -0.249 eV per atom
Space-group type: No. 139
V: 99 Å³/cell


19.
The following is a DFT calculation (SCAN) of a crystal of Al2InS relaxed with PBEsol.

Structure (extended XYZ):
```
4
Lattice="-1.162 4.555 0.484 -4.117 1.582 -1.698 -3.455 1.255 2.970" Properties=species:S:1:pos:R:3 pbc="T T T"
S 0.000 0.000 0.000
Al -2.183 1.848 0.439
Al -6.550 5.544 1.318
In -4.367 3.696 0.879
```

Uncorrected formation energy: 0.2755 eV/atom
Space-group type: No. 225
V: 75 Å³/cell


20.
The following is a DFT calculation (SCAN) of a crystal of KTaSb2 relaxed with PBEsol.

Structure (extended XYZ):
```
4
Lattice="-4.234 2.892 0.343 -0.330 -5.065 0.136 -1.290 -2.405 4.353" Properties=species:S:1:pos:R:3 pbc="T T T"
K 0.000 0.000 0.000
Sb -1.546 -2.411 1.242
Sb -4.308 -2.168 3.590
Ta -2.762 0.243 2.348
```

Uncorrected formation energy: 0.4077 eV/atom
Space-group type: No. 139
V: 94 Å³/cell